1.
Here is crystalline Sr2GaGe3 at its relaxed geometry from Alexandria via LeMat-Bulk. Energies are from PBE.

Structure (CIF):
```
data_Sr2GaGe3
_space_group_name_H-M_alt 'F m m m'
_space_group_IT_number 69
_space_group_name_Hall '-F 2 2'
_cell_length_a 9.193
_cell_length_b 9.213
_cell_length_c 14.715
_cell_angle_alpha 90.00
_cell_angle_beta 90.00
_cell_angle_gamma 90.00
loop_
_atom_site_label
_atom_site_fract_x
_atom_site_fract_y
_atom_site_fract_z
Sr1 0.000 0.243 0.000
Sr2 0.250 0.250 0.250
Ga1 0.000 0.000 0.335
Ge1 0.000 0.000 0.164
Ge2 0.242 0.000 0.414
```

Output
Density (g/cm3): 4.93
DFT formation energy (eV/f.u.): -2.8
Energy (eV/f.u.): -23.1



2.
Here is crystalline KCu2BSe4 at its relaxed geometry from Alexandria via LeMat-Bulk. Energies are from PBE.

Structure (CIF):
```
data_KCu2BSe4
_space_group_name_H-M_alt 'I -4 2 m'
_space_group_IT_number 121
_space_group_name_Hall 'I -4 2'
_cell_length_a 6.384
_cell_length_b 6.384
_cell_length_c 8.287
_cell_angle_alpha 90.00
_cell_angle_beta 90.00
_cell_angle_gamma 90.00
loop_
_atom_site_label
_atom_site_fract_x
_atom_site_fract_y
_atom_site_fract_z
K1 0.000 0.000 0.000
Cu1 0.000 0.500 0.250
B1 0.000 0.000 0.500
Se1 0.187 0.187 0.359
```

Output
Density (g/cm3): 4.85
Energy (eV/f.u.): -32.2



3.
Here is crystalline In2CuSe at its relaxed geometry from Alexandria via LeMat-Bulk. Energies are from PBE.

Structure (CIF):
```
data_In2CuSe
_space_group_name_H-M_alt 'F -4 3 m'
_space_group_IT_number 216
_space_group_name_Hall 'F -4 2 3'
_cell_length_a 7.139
_cell_length_b 7.139
_cell_length_c 7.139
_cell_angle_alpha 90.00
_cell_angle_beta 90.00
_cell_angle_gamma 90.00
loop_
_atom_site_label
_atom_site_fract_x
_atom_site_fract_y
_atom_site_fract_z
In1 0.000 0.000 0.000
In2 0.250 0.250 0.250
Cu1 0.000 0.000 0.500
Se1 0.250 0.250 0.750
```

Output
Density (g/cm3): 6.79
Energy (eV/f.u.): -12.1